## Cs2ThUS6 (PBE)

Data for crystalline Cs2ThUS6 at its relaxed geometry.

Calculated values
The energy relative to the elements, uncorrected comes out at -1.50 eV/atom. The total magnetization is 0.01 μB/atom. The crystal system is orthorhombic. The value obtained for the raw total energy is -6.01 eV per atom.

a b c (Å): 7.5551 10.6844 7.5558
angles (deg): 90.00 90.00 90.00
Closest atoms and distances in Å follow each position.
Space group Pmmn (No. 59, origin choice 2)
One atom of each set of equivalent atoms:
Cs (0.2500, 0.0001, 0.2498) x4  12 S 3.77-3.78
Th (0.2500, 0.2500, 0.7494) x2  6 S 2.78
U (0.2500, 0.7500, 0.7506) x2  6 S 2.57
S (0.0097, 0.7500, 0.5104) x4  1 U 2.57, 1 Th 2.78
S (0.0099, 0.7500, 0.9909) x4  1 U 2.57, 1 Th 2.78
S (0.2500, 0.5097, 0.7505) x4  1 U 2.57, 1 Th 2.78